1.
## NaHfMg6O7 (GGA-PBE)

Data for a relaxed structure of NaHfMg6O7.

Computed properties:
- Energy relative to the elements, uncorrected: -2.297 eV per atom
- Relative energy among the computed polymorphs: 0.0 meV/atom

CIF file:
```
data_NaHfMg6O7
_space_group_name_H-M_alt 'P 1'
_space_group_IT_number 1
_space_group_name_Hall 'P 1'
_cell_length_a 4.325
_cell_length_b 4.325
_cell_length_c 8.876
_cell_angle_alpha 90.00
_cell_angle_beta 90.00
_cell_angle_gamma 90.00
loop_
_atom_site_label
_atom_site_type_symbol
_atom_site_fract_x
_atom_site_fract_y
_atom_site_fract_z
_atom_site_occupancy
Na1 Na 0.000 0.000 0.005 1
O1 O 0.000 0.000 0.269 1
O2 O 0.500 0.500 0.747 1
O3 O 0.000 0.500 0.501 1
O4 O 0.500 0.000 0.501 1
O5 O 0.500 0.000 0.992 1
O6 O 0.000 0.000 0.733 1
O7 O 0.000 0.500 0.992 1
Mg1 Mg 0.500 0.500 0.505 1
Mg2 Mg 0.000 0.500 0.259 1
Mg3 Mg 0.500 0.000 0.742 1
Mg4 Mg 0.500 0.000 0.259 1
Mg5 Mg 0.000 0.500 0.742 1
Mg6 Mg 0.000 0.000 0.501 1
Hf1 Hf 0.500 0.500 0.003 1
```



2.
## NaHfMg6O7 (GGA-PBE)

Data for a relaxed structure of NaHfMg6O7.

Computed properties:
- Energy relative to the elements, uncorrected: -2.271 eV per atom
- Relative energy among the computed polymorphs: 26.3 meV/atom

CIF file:
```
data_NaHfMg6O7
_space_group_name_H-M_alt 'P 1'
_space_group_IT_number 1
_space_group_name_Hall 'P 1'
_cell_length_a 4.353
_cell_length_b 4.353
_cell_length_c 8.813
_cell_angle_alpha 90.00
_cell_angle_beta 90.00
_cell_angle_gamma 90.00
loop_
_atom_site_label
_atom_site_type_symbol
_atom_site_fract_x
_atom_site_fract_y
_atom_site_fract_z
_atom_site_occupancy
O1 O 0.000 0.000 0.734 1
O2 O 0.500 0.000 0.502 1
O3 O 0.000 0.500 0.997 1
O4 O 0.500 0.000 0.997 1
O5 O 0.500 0.500 0.256 1
O6 O 0.000 0.500 0.502 1
O7 O 0.500 0.500 0.748 1
Na1 Na 0.000 0.000 0.000 1
Hf1 Hf 0.500 0.500 0.001 1
Mg1 Mg 0.500 0.500 0.501 1
Mg2 Mg 0.000 0.000 0.502 1
Mg3 Mg 0.500 0.000 0.744 1
Mg4 Mg 0.000 0.500 0.744 1
Mg5 Mg 0.500 0.000 0.260 1
Mg6 Mg 0.000 0.500 0.260 1
```



3.
## Na2Hf2MgS6 (GGA-PBE)

Data for a relaxed structure of Na2Hf2MgS6.

Computed properties:
- Energy relative to the elements, uncorrected: -1.511 eV per atom

CIF file:
```
data_Na2Hf2MgS6
_space_group_name_H-M_alt 'P 1'
_space_group_IT_number 1
_space_group_name_Hall 'P 1'
_cell_length_a 6.444
_cell_length_b 6.444
_cell_length_c 7.105
_cell_angle_alpha 98.46
_cell_angle_beta 98.46
_cell_angle_gamma 120.47
loop_
_atom_site_label
_atom_site_type_symbol
_atom_site_fract_x
_atom_site_fract_y
_atom_site_fract_z
_atom_site_occupancy
Hf1 Hf 0.334 0.666 0.500 1
Hf2 Hf 0.666 0.334 0.500 1
S1 S 0.932 0.587 0.288 1
S2 S 0.413 0.068 0.712 1
S3 S 0.068 0.413 0.712 1
S4 S 0.270 0.270 0.289 1
S5 S 0.730 0.730 0.711 1
S6 S 0.587 0.932 0.288 1
Mg1 Mg 0.000 0.000 0.500 1
Na1 Na 0.164 0.836 0.000 1
Na2 Na 0.836 0.164 0.000 1
```



Please write out number 1 again, unchanged.
## NaHfMg6O7 (GGA-PBE)

Data for a relaxed structure of NaHfMg6O7.

Computed properties:
- Energy relative to the elements, uncorrected: -2.297 eV per atom
- Relative energy among the computed polymorphs: 0.0 meV/atom

CIF file:
```
data_NaHfMg6O7
_space_group_name_H-M_alt 'P 1'
_space_group_IT_number 1
_space_group_name_Hall 'P 1'
_cell_length_a 4.325
_cell_length_b 4.325
_cell_length_c 8.876
_cell_angle_alpha 90.00
_cell_angle_beta 90.00
_cell_angle_gamma 90.00
loop_
_atom_site_label
_atom_site_type_symbol
_atom_site_fract_x
_atom_site_fract_y
_atom_site_fract_z
_atom_site_occupancy
Na1 Na 0.000 0.000 0.005 1
O1 O 0.000 0.000 0.269 1
O2 O 0.500 0.500 0.747 1
O3 O 0.000 0.500 0.501 1
O4 O 0.500 0.000 0.501 1
O5 O 0.500 0.000 0.992 1
O6 O 0.000 0.000 0.733 1
O7 O 0.000 0.500 0.992 1
Mg1 Mg 0.500 0.500 0.505 1
Mg2 Mg 0.000 0.500 0.259 1
Mg3 Mg 0.500 0.000 0.742 1
Mg4 Mg 0.500 0.000 0.259 1
Mg5 Mg 0.000 0.500 0.742 1
Mg6 Mg 0.000 0.000 0.501 1
Hf1 Hf 0.500 0.500 0.003 1
```



Which of these has the lowest energy relative to the elements, uncorrected? number 1



What is the formula in the third record? Na2Hf2MgS6